Density functional theory data (GGA-PBE) for NdGa2CuAu after structural relaxation.

Cell: 4.322 4.322 10.275 Å, 90.00 90.00 90.00°
Fractional positions:
Nd: 0.250 0.250 0.243
Nd: 0.750 0.750 0.757
Ga: 0.250 0.250 0.649
Ga: 0.250 0.750 0.000
Ga: 0.750 0.250 0.000
Ga: 0.750 0.750 0.351
Cu: 0.250 0.250 0.880
Cu: 0.750 0.750 0.120
Au: 0.250 0.750 0.500
Au: 0.750 0.250 0.500

Values from the calculation:
As for the calculated total energy: -4.1083 eV/atom. The value obtained for the theoretical density is 9.4 g/cm³.



Density functional theory data (GGA-PBE) for Ga2CuAuS4 after structural relaxation.

Cell: 5.489 5.489 10.789 Å, 90.00 90.00 90.00°
Fractional positions:
Ga: 0.000 0.000 0.000
Ga: 0.000 0.500 0.250
Ga: 0.500 0.000 0.750
Ga: 0.500 0.500 0.500
Cu: 0.000 0.000 0.500
Cu: 0.500 0.500 0.000
Au: 0.000 0.500 0.750
Au: 0.500 0.000 0.250
S: 0.235 0.736 0.382
S: 0.236 0.265 0.118
S: 0.264 0.235 0.618
S: 0.265 0.764 0.882
S: 0.735 0.236 0.882
S: 0.736 0.765 0.618
S: 0.764 0.735 0.118
S: 0.765 0.264 0.382

Values from the calculation:
As for the calculated total energy: -4.1585 eV/atom. The value obtained for the theoretical density is 5.4 g/cm³.



Density functional theory data (GGA-PBE) for Ga2CuAuSe4 after structural relaxation.

Cell: 5.802 5.802 11.399 Å, 90.00 90.00 90.00°
Fractional positions:
Ga: 0.000 0.000 0.000
Ga: 0.000 0.500 0.250
Ga: 0.500 0.000 0.750
Ga: 0.500 0.500 0.500
Cu: 0.000 0.000 0.500
Cu: 0.500 0.500 0.000
Au: 0.000 0.500 0.750
Au: 0.500 0.000 0.250
Se: 0.236 0.742 0.381
Se: 0.242 0.264 0.119
Se: 0.258 0.236 0.619
Se: 0.264 0.758 0.881
Se: 0.736 0.242 0.881
Se: 0.742 0.764 0.619
Se: 0.758 0.736 0.119
Se: 0.764 0.258 0.381

Values from the calculation:
As for the calculated total energy: -3.7805 eV/atom. The value obtained for the theoretical density is 6.2 g/cm³.



Density functional theory data (GGA-PBE) for TbGa2CuAu after structural relaxation.

Cell: 4.227 4.227 10.355 Å, 90.00 90.00 90.00°
Fractional positions:
Tb: 0.250 0.250 0.242
Tb: 0.750 0.750 0.758
Ga: 0.250 0.250 0.652
Ga: 0.250 0.750 0.000
Ga: 0.750 0.250 0.000
Ga: 0.750 0.750 0.348
Cu: 0.250 0.250 0.877
Cu: 0.750 0.750 0.123
Au: 0.250 0.750 0.500
Au: 0.750 0.250 0.500

Values from the calculation:
As for the calculated total energy: -4.0522 eV/atom. The value obtained for the theoretical density is 10.0 g/cm³.



Density functional theory data (GGA-PBE) for GaCuTcAu after structural relaxation.

Cell: 6.239 6.239 6.239 Å, 90.00 90.00 90.00°
Fractional positions:
Ga: 0.000 0.000 0.000
Ga: 0.000 0.500 0.500
Ga: 0.500 0.000 0.500
Ga: 0.500 0.500 0.000
Cu: 0.250 0.250 0.250
Cu: 0.250 0.750 0.750
Cu: 0.750 0.250 0.750
Cu: 0.750 0.750 0.250
Tc: 0.250 0.250 0.750
Tc: 0.250 0.750 0.250
Tc: 0.750 0.250 0.250
Tc: 0.750 0.750 0.750
Au: 0.000 0.000 0.500
Au: 0.000 0.500 0.000
Au: 0.500 0.000 0.000
Au: 0.500 0.500 0.500

Values from the calculation:
The value obtained for the energy above the most stable polymorph in this dataset is 0.000 eV/atom. As for the calculated total energy: -4.8936 eV/atom. The value obtained for the theoretical density is 11.7 g/cm³.



Density functional theory data (GGA-PBE) for TlGaCuAu after structural relaxation.

Cell: 6.743 6.743 6.743 Å, 90.00 90.00 90.00°
Fractional positions:
Tl: 0.000 0.000 0.000
Tl: 0.000 0.500 0.500
Tl: 0.500 0.000 0.500
Tl: 0.500 0.500 0.000
Ga: 0.250 0.250 0.250
Ga: 0.250 0.750 0.750
Ga: 0.750 0.250 0.750
Ga: 0.750 0.750 0.250
Cu: 0.250 0.250 0.750
Cu: 0.250 0.750 0.250
Cu: 0.750 0.250 0.250
Cu: 0.750 0.750 0.750
Au: 0.000 0.000 0.500
Au: 0.000 0.500 0.000
Au: 0.500 0.000 0.000
Au: 0.500 0.500 0.500

Values from the calculation:
The value obtained for the energy above the most stable polymorph in this dataset is 0.000 eV/atom. As for the calculated total energy: -2.9293 eV/atom. The value obtained for the theoretical density is 11.6 g/cm³.



Density functional theory data (GGA-PBE) for Tm3ZnGa2CuAu2 after structural relaxation.

Cell: 3.935 7.206 7.206 Å, 119.80 90.00 90.00°
Fractional positions:
Tm: 0.000 0.000 0.000
Tm: 0.000 0.191 0.593
Tm: 0.000 0.593 0.191
Zn: 0.500 0.358 0.358
Ga: 0.500 0.593 0.827
Ga: 0.500 0.827 0.593
Cu: 0.000 0.598 0.598
Au: 0.500 0.260 0.928
Au: 0.500 0.928 0.260

Values from the calculation:
As for the calculated total energy: -4.1138 eV/atom. The value obtained for the theoretical density is 11.0 g/cm³.



Density functional theory data (GGA-PBE) for YGa2CuAu after structural relaxation.

Cell: 4.226 4.226 10.343 Å, 90.00 90.00 90.00°
Fractional positions:
Y: 0.250 0.250 0.242
Y: 0.750 0.750 0.758
Ga: 0.250 0.250 0.651
Ga: 0.250 0.750 0.000
Ga: 0.750 0.250 0.000
Ga: 0.750 0.750 0.349
Cu: 0.250 0.250 0.876
Cu: 0.750 0.750 0.124
Au: 0.250 0.750 0.500
Au: 0.750 0.250 0.500

Values from the calculation:
As for the calculated total energy: -4.4203 eV/atom. The value obtained for the theoretical density is 8.8 g/cm³.



Density functional theory data (GGA-PBE) for GdCuAu4 after structural relaxation.

Cell: 3.589 3.589 8.900 Å, 90.00 90.00 90.00°
Fractional positions:
Gd: 0.000 0.000 0.000
Cu: 0.500 0.500 0.500
Au: 0.000 0.000 0.347
Au: 0.000 0.000 0.653
Au: 0.500 0.500 0.190
Au: 0.500 0.500 0.810

Values from the calculation:
As for the calculated formation energy: -0.37 eV/atom. As for the calculated total energy: -3.9411 eV/atom. The value obtained for the theoretical density is 14.6 g/cm³.



Density functional theory data (GGA-PBE) for Gd2Cu3Au after structural relaxation.

Cell: 3.599 3.599 8.870 Å, 90.00 90.00 90.00°
Fractional positions:
Gd: 0.000 0.000 0.000
Gd: 0.500 0.500 0.489
Cu: 0.000 0.000 0.315
Cu: 0.500 0.500 0.168
Cu: 0.500 0.500 0.829
Au: 0.000 0.000 0.668

Values from the calculation:
As for the calculated formation energy: -0.33 eV/atom. As for the calculated total energy: -4.2807 eV/atom. The value obtained for the theoretical density is 10.1 g/cm³.



Density functional theory data (GGA-PBE) for Gd2Mg2CuAu3 after structural relaxation.

Cell: 4.915 4.895 6.893 Å, 90.00 90.04 90.00°
Fractional positions:
Gd: 0.000 0.000 0.000
Gd: 0.476 0.500 0.510
Mg: 0.488 0.500 0.002
Mg: 0.988 0.000 0.508
Cu: 0.502 0.000 0.756
Au: 0.501 0.000 0.253
Au: 0.974 0.500 0.754
Au: 0.975 0.500 0.256

Values from the calculation:
As for the calculated total energy: -3.8685 eV/atom. The value obtained for the theoretical density is 10.2 g/cm³.



Density functional theory data (GGA-PBE) for GdCuSi2Au after structural relaxation.

Cell: 4.116 4.116 10.250 Å, 90.00 90.00 90.00°
Fractional positions:
Gd: 0.000 0.000 0.000
Gd: 0.500 0.500 0.500
Cu: 0.000 0.500 0.250
Cu: 0.500 0.000 0.750
Si: 0.000 0.000 0.387
Si: 0.000 0.000 0.613
Si: 0.500 0.500 0.113
Si: 0.500 0.500 0.887
Au: 0.000 0.500 0.750
Au: 0.500 0.000 0.250

Values from the calculation:
As for the calculated total energy: -5.0978 eV/atom. The value obtained for the theoretical density is 9.1 g/cm³.